# 1
ReRu: PBEsol geometry, meta-GGA SCAN.

For the volume, the calculation gives 13.96 Å³ per atom. The total energy is -423.5 eV for the cell shown. Its density of states at the Fermi level is 6.29 states/eV per cell.

The structure belongs to space group I4_1/amd (No. 141, origin choice 2); the cell edges are 3.8272, 3.8272 and 7.6271 Å and the angles 90.00°, 90.00° and 90.00°. The asymmetric unit holds Re at (0.0000, 0.2500, 0.3750) and Ru at (0.0000, 0.2500, 0.8750).


# 2
CuNiOs: PBEsol geometry, meta-GGA SCAN.

For the energy above the most stable polymorph in this dataset, the calculation gives 0.000 eV/atom. For the volume, the calculation gives 12.00 Å³ per atom. The total energy is -204.5 eV for the cell shown. Its density of states at the Fermi level is 7.25 states/eV per cell.

The structure belongs to space group Imm2 (No. 44); the cell edges are 2.5294, 3.6574 and 7.7809 Å and the angles 90.00°, 90.00° and 90.00°. The asymmetric unit holds Cu at (0.0000, 0.0000, 0.0000), Ni at (0.0000, 0.0000, 0.6649) and Os at (0.0000, 0.0000, 0.3284).


> Which value of total energy does entry 1 give?

-423.5 eV for the cell shown


> volume of number 2 (CuNiOs)?

12.00 Å³ per atom


> What is the formula in the first record?

ReRu


> Which of these has the highest total energy?

CuNiOs